Record 1
ScV3Cr: relaxed, PBE.

abc: 4.3856 4.3856 4.3856
angles: 90.00 90.00 90.00
With the nearest neighbours (Å) after each atom.
Positions (direct):
Sc1 0.0000 0.0000 0.0000  12 V 3.10
V1 0.0000 0.5000 0.5000  2 Cr 2.19
V2 0.5000 0.0000 0.5000  2 Cr 2.19
V3 0.5000 0.5000 0.0000  2 Cr 2.19
Cr1 0.5000 0.5000 0.5000  6 V 2.19

Values from the calculation:
- Crystal system: cubic
- Energy of formation: 0.600 eV per atom



Record 2
Zn2CuTeS: relaxed, PBE.

abc: 5.0805 5.0805 4.1417
angles: 90.00 90.00 90.00
With the nearest neighbours (Å) after each atom.
Positions (direct):
Zn1 0.0000 0.5000 0.0000  2 Cu 2.54
Zn2 0.5000 0.0000 0.0000  2 Cu 2.54
Cu1 0.0000 0.0000 0.0000  2 S 2.07
Te1 0.5000 0.5000 0.5000  8 Zn 3.28, 4 S 3.59
S1 0.0000 0.0000 0.5000  2 Cu 2.07

Values from the calculation:
- Formation energy (no corrections): 148 kJ/mol of formula units
- Crystal system: tetragonal



Record 3
Ga3SN: relaxed, PBE.

abc: 4.4329 4.4329 4.4329
angles: 90.00 90.00 90.00
With the nearest neighbours (Å) after each atom.
Positions (direct):
Ga1 0.0000 0.0000 0.5000  2 N 2.22
Ga2 0.0000 0.5000 0.0000  2 N 2.22
Ga3 0.5000 0.0000 0.0000  2 N 2.22
S1 0.5000 0.5000 0.5000  12 Ga 3.13
N1 0.0000 0.0000 0.0000  6 Ga 2.22

Values from the calculation:
- Formation energy (no corrections): 171 kJ/mol of formula units
- Crystal system: cubic



Number 1: total energy -8.06 eV per atom, volume 16.9 A^3/atom. Number 2: total energy -2.48 eV per atom, volume 21.4 A^3/atom. Number 3: total energy -3.95 eV per atom, volume 17.4 A^3/atom.